! KHg GGA-PBEsol optimized geometry; values from VASP
&SYSTEM
  ibrav = 0, nat = 8, ntyp = 2
/
ATOMIC_SPECIES
K 39.10 K.upf
Hg 200.59 Hg.upf
ATOMIC_POSITIONS crystal
K 0.3333 0.6667 0.4023
K 0.3333 0.6667 0.0977
K 0.6667 0.3333 0.9023
K 0.6667 0.3333 0.5977
Hg 0.0000 0.0000 0.7500
Hg 0.0000 0.0000 0.2500
Hg 0.6667 0.3333 0.2500
Hg 0.3333 0.6667 0.7500
CELL_PARAMETERS angstrom
-3.3088 1.9021 -3.5201
0.7697 -5.1236 0.3370
-9.1370 -0.8375 8.1362
! **Calculated formation energy**: -0.201 eV/atom